This record from Alexandria via LeMat-Bulk describes a geometry-optimized Hf2CoAu structure. The functional is PBE.

Cell: 3.2120 3.2120 6.8582 Å, 90.00 90.00 90.00°
Last column: nearest neighbours and their distance in Å.
Fractional positions:
Hf (0.0000, 0.0000, 0.7754)  4 Co 2.74, 4 Au 2.95
Hf (0.0000, 0.0000, 0.2246)  4 Co 2.74, 4 Au 2.95
Co (0.5000, 0.5000, 0.0000)  8 Hf 2.74
Au (0.5000, 0.5000, 0.5000)  8 Hf 2.95, 4 Au 3.21

Computed properties:
ΔE_f (eV/atom): -0.407
Relative energy among the computed polymorphs (eV/atom): 0.0505
Total magnetic moment (μB/f.u.): 0.23
Space-group type: P4/mmm